P.
The following is a DFT calculation (PBE-GGA) of Cu5Ag4 after structural relaxation.

The value obtained for the density is 9.4 Mg/m³.

The structure belongs to space group C2/m (No. 12); the cell edges are 14.181, 2.814 and 8.001 Å and the angles 90.00°, 124.26° and 90.00°. Symmetry generates all atoms from Cu at (0.000, 0.000, 0.000), Cu at (0.160, 0.500, 0.016), Cu at (0.222, 0.000, 0.331), Ag at (0.062, 0.500, 0.329) and Ag at (0.121, 0.000, 0.691).



Q.
The following is a DFT calculation (PBE-GGA) of Cu5Ag4 after structural relaxation.

The value obtained for the density is 9.5 Mg/m³.

The structure belongs to space group Imm2 (No. 44); the cell edges are 2.823, 3.495 and 26.629 Å and the angles 90.00°, 90.00° and 90.00°. Symmetry generates all atoms from Cu at (0.000, 0.000, 0.000), Cu at (0.000, 0.000, 0.093), Cu at (0.000, 0.000, 0.342), Cu at (0.000, 0.000, 0.547), Cu at (0.000, 0.000, 0.887), Ag at (0.000, 0.000, 0.217), Ag at (0.000, 0.000, 0.444), Ag at (0.000, 0.000, 0.650) and Ag at (0.000, 0.000, 0.784).



In order of decreasing stability: Q, P.



P.
The following is a DFT calculation (PBE-GGA) of NaAlSiPd after structural relaxation.

The value obtained for the density is 4.8 Mg/m³.

The structure belongs to space group F-43m (No. 216); the cell edges are 6.322, 6.322 and 6.322 Å and the angles 90.00°, 90.00° and 90.00°. Symmetry generates all atoms from Na at (0.000, 0.000, 0.000), Al at (0.250, 0.250, 0.250), Si at (0.250, 0.250, 0.750) and Pd at (0.000, 0.000, 0.500).



Q.
The following is a DFT calculation (PBE-GGA) of NaAlSiPd after structural relaxation.

The value obtained for the density is 4.8 Mg/m³.

The structure belongs to space group F-43m (No. 216); the cell edges are 6.355, 6.355 and 6.355 Å and the angles 90.00°, 90.00° and 90.00°. Symmetry generates all atoms from Na at (0.000, 0.000, 0.000), Al at (0.250, 0.250, 0.750), Si at (0.000, 0.000, 0.500) and Pd at (0.250, 0.250, 0.250).



In order of decreasing stability: P, Q.



P.
The following is a DFT calculation (PBE-GGA) of YHgSO after structural relaxation.

The value obtained for the density is 6.6 Mg/m³.

The structure belongs to space group P2_1/c (No. 14); the cell edges are 6.991, 7.296 and 6.635 Å and the angles 90.00°, 92.34° and 90.00°. Symmetry generates all atoms from Y at (0.014, 0.140, 0.294), Hg at (0.498, 0.684, 0.995), S at (0.248, 0.071, 0.952) and O at (0.104, 0.641, 0.906).



Q.
The following is a DFT calculation (PBE-GGA) of YHgSO after structural relaxation.

The value obtained for the density is 7.2 Mg/m³.

The structure belongs to space group P4/nmm (No. 129, origin choice 2); the cell edges are 3.942, 3.942 and 9.977 Å and the angles 90.00°, 90.00° and 90.00°. Symmetry generates all atoms from Y at (0.250, 0.250, 0.111), Hg at (0.250, 0.750, 0.500), S at (0.250, 0.250, 0.739) and O at (0.250, 0.750, 0.000).



In order of decreasing stability: P, Q.



P.
The following is a DFT calculation (PBE-GGA) of NdScRe after structural relaxation.

The value obtained for the density is 8.5 Mg/m³.

The structure belongs to space group F-43m (No. 216); the cell edges are 6.643, 6.643 and 6.643 Å and the angles 90.00°, 90.00° and 90.00°. Symmetry generates all atoms from Nd at (0.000, 0.000, 0.000), Sc at (0.250, 0.250, 0.250) and Re at (0.250, 0.250, 0.750).



Q.
The following is a DFT calculation (PBE-GGA) of NdScRe after structural relaxation.

The value obtained for the density is 8.7 Mg/m³.

The structure belongs to space group F-43m (No. 216); the cell edges are 6.601, 6.601 and 6.601 Å and the angles 90.00°, 90.00° and 90.00°. Symmetry generates all atoms from Nd at (0.000, 0.000, 0.000), Sc at (0.250, 0.250, 0.250) and Re at (0.000, 0.000, 0.500).



In order of decreasing stability: Q, P.



P.
The following is a DFT calculation (PBE-GGA) of SmHgNO after structural relaxation.

The value obtained for the density is 10.4 Mg/m³.

The structure belongs to space group P4/nmm (No. 129, origin choice 2); the cell edges are 5.119, 5.119 and 4.660 Å and the angles 90.00°, 90.00° and 90.00°. Symmetry generates all atoms from Sm at (0.250, 0.750, 0.000), Hg at (0.250, 0.250, 0.497), N at (0.250, 0.250, 0.998) and O at (0.250, 0.750, 0.500).



Q.
The following is a DFT calculation (PBE-GGA) of SmHgNO after structural relaxation.

The value obtained for the density is 8.8 Mg/m³.

The structure belongs to space group Pmc2_1 (No. 26); the cell edges are 4.060, 6.190 and 5.700 Å and the angles 90.00°, 90.00° and 90.00°. Symmetry generates all atoms from Sm at (0.000, 0.205, 0.000), Hg at (0.500, 0.269, 0.482), N at (0.000, 0.161, 0.415) and O at (0.500, 0.336, 0.918).



In order of decreasing stability: Q, P.



P.
The following is a DFT calculation (PBE-GGA) of YHfPbC after structural relaxation.

The value obtained for the density is 9.9 Mg/m³.

The structure belongs to space group P-3m1 (No. 164); the cell edges are 3.4934, 3.4934 and 15.4406 Å and the angles 90.00°, 90.00° and 120.00°. Symmetry generates all atoms from Y at (0.3333, 0.6667, 0.4125), Hf at (0.3333, 0.6667, 0.0760), Pb at (0.3333, 0.6667, 0.7640), C at (0.0000, 0.0000, 0.0000) and C at (0.0000, 0.0000, 0.5000).



Q.
The following is a DFT calculation (PBE-GGA) of YHfPbC after structural relaxation.

The value obtained for the density is 10.0 Mg/m³.

The structure belongs to space group P-6m2 (No. 187); the cell edges are 3.4821, 3.4821 and 15.4666 Å and the angles 90.00°, 90.00° and 120.00°. Symmetry generates all atoms from Y at (0.0000, 0.0000, 0.1746), Hf at (0.6667, 0.3333, 0.3395), Pb at (0.0000, 0.0000, 0.5000), Pb at (0.6667, 0.3333, 0.0000) and C at (0.3333, 0.6667, 0.2703).



In order of decreasing stability: Q, P.